A geometry-optimized TiV5W6 structure, computed with PBE.

Cell: 7.5970 7.5970 7.5970 Å, 146.54 131.78 59.96°
Atoms (fractional coordinates):
Ti 0.0000 0.0000 0.0000
V 0.1658 0.6658 0.5000
V 0.3329 0.3329 0.0000
V 0.5000 0.0000 0.5000
V 0.6671 0.6671 0.0000
V 0.8342 0.3342 0.5000
W 0.0838 0.8313 0.2525
W 0.2551 0.5000 0.7551
W 0.4212 0.1687 0.2525
W 0.5788 0.8313 0.7475
W 0.7449 0.5000 0.2449
W 0.9162 0.1687 0.7475

Calculated values
Its magnetic moment is 0.0 μB per cell. For the formation energy, the calculation gives -0.0476 eV/atom. As for the crystal system: orthorhombic. The space group is No. 71.